# 1
This record from the Alexandria database describes KNa4Sr2 after structural relaxation. The functional is PBE-GGA.

The structure in CIF format:
```
data_KNa4Sr2
_symmetry_space_group_name_H-M 'C m m m'
_symmetry_Int_Tables_number 65
_symmetry_space_group_name_Hall '-C 2 2'
_cell_length_a 4.2655
_cell_length_b 37.1732
_cell_length_c 4.1601
_cell_angle_alpha 90.00
_cell_angle_beta 90.00
_cell_angle_gamma 90.00
loop_
_atom_site_label
_atom_site_type_symbol
_atom_site_fract_x
_atom_site_fract_y
_atom_site_fract_z
K1 K 0.0000 0.0000 0.0000
Na1 Na 0.0000 0.1315 0.0000
Na2 Na 0.0000 0.4203 0.5000
Sr1 Sr 0.0000 0.2985 0.5000
```

Summary:
The formation energy is 0.06 eV/atom.

---

# 2
This record from the Alexandria database describes Nd2HPb after structural relaxation. The functional is PBE-GGA.

The structure in CIF format:
```
data_Nd2HPb
_symmetry_space_group_name_H-M 'R -3 m'
_symmetry_Int_Tables_number 166
_symmetry_space_group_name_Hall '-R 3 2"'
_cell_length_a 4.3978
_cell_length_b 4.3978
_cell_length_c 18.8879
_cell_angle_alpha 90.00
_cell_angle_beta 90.00
_cell_angle_gamma 120.00
loop_
_atom_site_label
_atom_site_type_symbol
_atom_site_fract_x
_atom_site_fract_y
_atom_site_fract_z
Nd1 Nd 0.0000 0.0000 0.2366
H1 H 0.0000 0.0000 0.5000
Pb1 Pb 0.0000 0.0000 0.0000
```

Summary:
As for the offset from the most stable computed form: 0.270 eV/atom.

---

# 3
This record from the Alexandria database describes RbCdI2O after structural relaxation. The functional is PBE-GGA.

The structure in CIF format:
```
data_RbCdI2O
_symmetry_space_group_name_H-M 'P 4/m m m'
_symmetry_Int_Tables_number 123
_symmetry_space_group_name_Hall '-P 4 2'
_cell_length_a 6.7809
_cell_length_b 6.7809
_cell_length_c 4.9668
_cell_angle_alpha 90.00
_cell_angle_beta 90.00
_cell_angle_gamma 90.00
loop_
_atom_site_label
_atom_site_type_symbol
_atom_site_fract_x
_atom_site_fract_y
_atom_site_fract_z
Rb1 Rb 0.0000 0.0000 0.0000
Cd1 Cd 0.5000 0.5000 0.5000
I1 I 0.0000 0.5000 0.0000
O1 O 0.0000 0.0000 0.5000
```

Summary:
As for the offset from the most stable computed form: 0.873 eV/atom. The value obtained for the formation energy without anion corrections is 0.98 eV per formula unit.

---

# 4
This record from the Alexandria database describes Sr2FePb after structural relaxation. The functional is PBE-GGA.

The structure in CIF format:
```
data_Sr2FePb
_symmetry_space_group_name_H-M 'R -3 m'
_symmetry_Int_Tables_number 166
_symmetry_space_group_name_Hall '-R 3 2"'
_cell_length_a 3.9006
_cell_length_b 3.9006
_cell_length_c 30.0873
_cell_angle_alpha 90.00
_cell_angle_beta 90.00
_cell_angle_gamma 120.00
loop_
_atom_site_label
_atom_site_type_symbol
_atom_site_fract_x
_atom_site_fract_y
_atom_site_fract_z
Sr1 Sr 0.0000 0.0000 0.2401
Fe1 Fe 0.0000 0.0000 0.5000
Pb1 Pb 0.0000 0.0000 0.0000
```

Summary:
The formation energy is 0.36 eV/atom.

---

# 5
This record from the Alexandria database describes Ce8N3Cl4O after structural relaxation. The functional is PBE-GGA.

The structure in CIF format:
```
data_Ce8N3Cl4O
_symmetry_space_group_name_H-M 'R -3 m'
_symmetry_Int_Tables_number 166
_symmetry_space_group_name_Hall '-R 3 2"'
_cell_length_a 7.1654
_cell_length_b 7.1654
_cell_length_c 20.9712
_cell_angle_alpha 90.00
_cell_angle_beta 90.00
_cell_angle_gamma 120.00
loop_
_atom_site_label
_atom_site_type_symbol
_atom_site_fract_x
_atom_site_fract_y
_atom_site_fract_z
Ce1 Ce 0.0000 0.0000 0.2322
Ce2 Ce 0.0023 0.5012 0.7677
N1 N 0.0000 0.5000 0.5000
Cl1 Cl 0.0000 0.0000 0.0000
Cl2 Cl 0.0000 0.5000 0.0000
O1 O 0.0000 0.0000 0.5000
```

Summary:
The value obtained for the formation energy without anion corrections is -27.09 eV per formula unit.

---

# 6
This record from the Alexandria database describes Sr2SiGe3Pt4 after structural relaxation. The functional is PBE-GGA.

The structure in CIF format:
```
data_Sr2SiGe3Pt4
_symmetry_space_group_name_H-M 'P -4 m 2'
_symmetry_Int_Tables_number 115
_symmetry_space_group_name_Hall 'P -4 -2'
_cell_length_a 4.4059
_cell_length_b 4.4059
_cell_length_c 10.2203
_cell_angle_alpha 90.00
_cell_angle_beta 90.00
_cell_angle_gamma 90.00
loop_
_atom_site_label
_atom_site_type_symbol
_atom_site_fract_x
_atom_site_fract_y
_atom_site_fract_z
Sr1 Sr 0.0000 0.5000 0.2451
Si1 Si 0.5000 0.5000 0.0000
Ge1 Ge 0.0000 0.0000 0.0000
Ge2 Ge 0.0000 0.5000 0.6286
Pt1 Pt 0.0000 0.0000 0.5000
Pt2 Pt 0.0000 0.5000 0.8817
Pt3 Pt 0.5000 0.5000 0.5000
```

Summary:
The value obtained for the formation energy without anion corrections is -8.30 eV per formula unit.

---

# 7
This record from the Alexandria database describes Tl4PbAu after structural relaxation. The functional is PBE-GGA.

The structure in CIF format:
```
data_Tl4PbAu
_symmetry_space_group_name_H-M 'F -4 3 m'
_symmetry_Int_Tables_number 216
_symmetry_space_group_name_Hall 'F -4 2 3'
_cell_length_a 9.0090
_cell_length_b 9.0090
_cell_length_c 9.0090
_cell_angle_alpha 90.00
_cell_angle_beta 90.00
_cell_angle_gamma 90.00
loop_
_atom_site_label
_atom_site_type_symbol
_atom_site_fract_x
_atom_site_fract_y
_atom_site_fract_z
Tl1 Tl 0.1249 0.1249 0.1249
Pb1 Pb 0.0000 0.0000 0.5000
Au1 Au 0.2500 0.2500 0.7500
```

Summary:
As for the offset from the most stable computed form: 0.234 eV/atom. The formation energy is 0.23 eV/atom.

---

# 8
This record from the Alexandria database describes SrCePr2P4 after structural relaxation. The functional is PBE-GGA.

The structure in CIF format:
```
data_SrCePr2P4
_symmetry_space_group_name_H-M 'P 1 2/m 1'
_symmetry_Int_Tables_number 10
_symmetry_space_group_name_Hall '-P 2y'
_cell_length_a 7.2793
_cell_length_b 4.2151
_cell_length_c 7.2852
_cell_angle_alpha 90.00
_cell_angle_beta 109.06
_cell_angle_gamma 90.00
loop_
_atom_site_label
_atom_site_type_symbol
_atom_site_fract_x
_atom_site_fract_y
_atom_site_fract_z
Sr1 Sr 0.0000 0.0000 0.0000
Ce1 Ce 0.0000 0.5000 0.5000
Pr1 Pr 0.5000 0.0000 0.5000
Pr2 Pr 0.5000 0.5000 0.0000
P1 P 0.2454 0.0000 0.7377
P2 P 0.2512 0.5000 0.2663
```

Summary:
The formation energy is -1.36 eV/atom.

---

# 9
This record from the Alexandria database describes MgAlAg2 after structural relaxation. The functional is PBE-GGA.

The structure in CIF format:
```
data_MgAlAg2
_symmetry_space_group_name_H-M 'C 1 2/m 1'
_symmetry_Int_Tables_number 12
_symmetry_space_group_name_Hall '-C 2y'
_cell_length_a 5.8587
_cell_length_b 9.0351
_cell_length_c 2.8855
_cell_angle_alpha 90.00
_cell_angle_beta 110.77
_cell_angle_gamma 90.00
loop_
_atom_site_label
_atom_site_type_symbol
_atom_site_fract_x
_atom_site_fract_y
_atom_site_fract_z
Mg1 Mg 0.0000 0.0000 0.0000
Al1 Al 0.0000 0.5000 0.0000
Ag1 Ag 0.2500 0.2500 0.5000
```

Summary:
As for the offset from the most stable computed form: 0.121 eV/atom. The formation energy is -0.05 eV/atom.

---

# 10
This record from the Alexandria database describes CePm3Tm2Se6 after structural relaxation. The functional is PBE-GGA.

The structure in CIF format:
```
data_CePm3Tm2Se6
_symmetry_space_group_name_H-M 'C 1 2/m 1'
_symmetry_Int_Tables_number 12
_symmetry_space_group_name_Hall '-C 2y'
_cell_length_a 7.1354
_cell_length_b 12.4024
_cell_length_c 7.2039
_cell_angle_alpha 90.00
_cell_angle_beta 109.47
_cell_angle_gamma 90.00
loop_
_atom_site_label
_atom_site_type_symbol
_atom_site_fract_x
_atom_site_fract_y
_atom_site_fract_z
Ce1 Ce 0.0000 0.0000 0.0000
Pm1 Pm 0.0000 0.1627 0.5000
Pm2 Pm 0.0000 0.5000 0.5000
Tm1 Tm 0.0000 0.3328 0.0000
Se1 Se 0.2352 0.5000 0.2358
Se2 Se 0.2485 0.3285 0.7601
```

Summary:
The value obtained for the formation energy without anion corrections is -21.36 eV per formula unit.

---

# 11
This record from the Alexandria database describes CuSiAg2 after structural relaxation. The functional is PBE-GGA.

The structure in CIF format:
```
data_CuSiAg2
_symmetry_space_group_name_H-M 'P m m m'
_symmetry_Int_Tables_number 47
_symmetry_space_group_name_Hall '-P 2 2'
_cell_length_a 2.8760
_cell_length_b 3.9513
_cell_length_c 5.5541
_cell_angle_alpha 90.00
_cell_angle_beta 90.00
_cell_angle_gamma 90.00
loop_
_atom_site_label
_atom_site_type_symbol
_atom_site_fract_x
_atom_site_fract_y
_atom_site_fract_z
Cu1 Cu 0.0000 0.0000 0.0000
Si1 Si 0.0000 0.0000 0.5000
Ag1 Ag 0.5000 0.5000 0.2474
```

Summary:
The value obtained for the formation energy without anion corrections is 0.88 eV per formula unit.

---

# 12
This record from the Alexandria database describes CaYCuSe3 after structural relaxation. The functional is PBE-GGA.

The structure in CIF format:
```
data_CaYCuSe3
_symmetry_space_group_name_H-M 'P 1 21/m 1'
_symmetry_Int_Tables_number 11
_symmetry_space_group_name_Hall '-P 2yb'
_cell_length_a 8.2721
_cell_length_b 4.0044
_cell_length_c 9.0189
_cell_angle_alpha 90.00
_cell_angle_beta 102.51
_cell_angle_gamma 90.00
loop_
_atom_site_label
_atom_site_type_symbol
_atom_site_fract_x
_atom_site_fract_y
_atom_site_fract_z
Ca1 Ca 0.1862 0.2500 0.2461
Y1 Y 0.3254 0.7500 0.8288
Cu1 Cu 0.0806 0.2500 0.5823
Se1 Se 0.0891 0.2500 0.8602
Se2 Se 0.2327 0.7500 0.5080
Se3 Se 0.4238 0.7500 0.1616
```

Summary:
The value obtained for the formation energy without anion corrections is -9.03 eV per formula unit.